Entry from Alexandria: a relaxed Si2Os crystal (PBE).

Results
As for the magnetization: 0.000 μB/atom. As for the space-group type: Fm-3m. The calculated density is 8.754 Mg/m³. The value obtained for the total energy is -7.47 eV/atom. The formation energy from raw total energies is -0.113 eV/atom.

a b c (Å): 5.7181 5.7181 5.7181
angles (deg): 90.00 90.00 90.00
Last column: nearest neighbours and their distance in Å.
Element x y z (fractional)
Si  0.2500  0.2500  0.2500  4 Os 2.48
Si  0.2500  0.2500  0.7500  4 Os 2.48
Si  0.2500  0.7500  0.2500  4 Os 2.48
Si  0.2500  0.7500  0.7500  4 Os 2.48
Si  0.7500  0.2500  0.2500  4 Os 2.48
Si  0.7500  0.2500  0.7500  4 Os 2.48
Si  0.7500  0.7500  0.2500  4 Os 2.48
Si  0.7500  0.7500  0.7500  4 Os 2.48
Os  0.0000  0.0000  0.0000  8 Si 2.48
Os  0.0000  0.5000  0.5000  8 Si 2.48
Os  0.5000  0.0000  0.5000  8 Si 2.48
Os  0.5000  0.5000  0.0000  8 Si 2.48

Entry from Alexandria: a relaxed CsMg2F crystal (PBE).

Results
As for the magnetization: 0.000 μB/atom. As for the space-group type: I4_1/amd. The calculation puts the energy above the lowest structure with this stoichiometry at 0 meV/atom. The calculated density is 2.466 Mg/m³. The value obtained for the total energy is -2.30 eV/atom. The formation energy from raw total energies is -0.821 eV/atom.

a b c (Å): 7.2741 7.2741 10.2077
angles (deg): 90.00 90.00 90.00
Last column: nearest neighbours and their distance in Å.
Element x y z (fractional)
Cs  0.0000  0.2500  0.3750  12 Mg 4.24-4.26, 4 F 4.44, 4 Cs 4.44
Cs  0.0000  0.7500  0.6250  12 Mg 4.24-4.26, 4 F 4.44, 4 Cs 4.44
Cs  0.5000  0.2500  0.1250  12 Mg 4.24-4.26, 4 F 4.44, 4 Cs 4.44
Cs  0.5000  0.7500  0.8750  12 Mg 4.24-4.26, 4 F 4.44, 4 Cs 4.44
Mg  0.0000  0.0000  0.0000  2 F 2.22
Mg  0.0000  0.5000  0.0000  2 F 2.22
Mg  0.2500  0.2500  0.7500  2 F 2.22
Mg  0.2500  0.7500  0.2500  2 F 2.22
Mg  0.5000  0.0000  0.5000  2 F 2.22
Mg  0.5000  0.5000  0.5000  2 F 2.22
Mg  0.7500  0.2500  0.7500  2 F 2.22
Mg  0.7500  0.7500  0.2500  2 F 2.22
F  0.0000  0.2500  0.8750  4 Mg 2.22
F  0.0000  0.7500  0.1250  4 Mg 2.22
F  0.5000  0.2500  0.6250  4 Mg 2.22
F  0.5000  0.7500  0.3750  4 Mg 2.22

Entry from Alexandria: a relaxed AgRh2Cl crystal (PBE).

Results
As for the magnetization: 0.000 μB/atom. As for the space-group type: Cmmm. The calculation puts the energy above the lowest structure with this stoichiometry at 250 meV/atom. The calculated density is 9.095 Mg/m³. The value obtained for the total energy is -4.42 eV/atom. The formation energy from raw total energies is 0.429 eV/atom.

a b c (Å): 2.8483 5.0585 8.8487
angles (deg): 90.00 90.00 90.00
Last column: nearest neighbours and their distance in Å.
Element x y z (fractional)
Ag  0.0000  0.0000  0.0000  4 Rh 2.78, 6 Ag 2.85-2.90
Ag  0.5000  0.5000  0.0000  4 Rh 2.78, 6 Ag 2.85-2.90
Rh  0.0000  0.5000  0.2698  2 Cl 2.49, 2 Ag 2.78
Rh  0.0000  0.5000  0.7302  2 Cl 2.49, 2 Ag 2.78
Rh  0.5000  0.0000  0.2698  2 Cl 2.49, 2 Ag 2.78
Rh  0.5000  0.0000  0.7302  2 Cl 2.49, 2 Ag 2.78
Cl  0.0000  0.0000  0.5000  4 Rh 2.49
Cl  0.5000  0.5000  0.5000  4 Rh 2.49

Entry from Alexandria: a relaxed AcNiSnBi crystal (PBE).

Results
As for the magnetization: 0.000 μB/atom. The calculation puts the formation energy at -0.2 eV/f.u. As for the space-group type: F-43m. The calculated density is 9.311 Mg/m³. The value obtained for the total energy is -4.51 eV/atom.

a b c (Å): 7.5918 7.5918 7.5918
angles (deg): 90.00 90.00 90.00
Last column: nearest neighbours and their distance in Å.
Element x y z (fractional)
Ac  0.0000  0.0000  0.0000  4 Ni 3.29, 4 Sn 3.29
Ac  0.0000  0.5000  0.5000  4 Ni 3.29, 4 Sn 3.29
Ac  0.5000  0.0000  0.5000  4 Ni 3.29, 4 Sn 3.29
Ac  0.5000  0.5000  0.0000  4 Ni 3.29, 4 Sn 3.29
Ni  0.2500  0.2500  0.7500  4 Ac 3.29, 4 Bi 3.29
Ni  0.2500  0.7500  0.2500  4 Ac 3.29, 4 Bi 3.29
Ni  0.7500  0.2500  0.2500  4 Ac 3.29, 4 Bi 3.29
Ni  0.7500  0.7500  0.7500  4 Ac 3.29, 4 Bi 3.29
Sn  0.2500  0.2500  0.2500  4 Ac 3.29, 4 Bi 3.29
Sn  0.2500  0.7500  0.7500  4 Ac 3.29, 4 Bi 3.29
Sn  0.7500  0.2500  0.7500  4 Ac 3.29, 4 Bi 3.29
Sn  0.7500  0.7500  0.2500  4 Ac 3.29, 4 Bi 3.29
Bi  0.0000  0.0000  0.5000  4 Sn 3.29, 4 Ni 3.29
Bi  0.0000  0.5000  0.0000  4 Sn 3.29, 4 Ni 3.29
Bi  0.5000  0.0000  0.0000  4 Sn 3.29, 4 Ni 3.29
Bi  0.5000  0.5000  0.5000  4 Sn 3.29, 4 Ni 3.29